Entry 1:
Zn5Te4Se | PBE | optimized geometry

Cell lengths 4.3027, 4.3027, 35.3352 Å; angles 90.00, 90.00, 120.00 degrees
Fractional coordinates of all 20 atoms:
Zn1 0.0000 0.0000 0.0000
Zn2 0.0000 0.0000 0.1933
Zn3 0.0000 0.0000 0.3868
Zn4 0.0000 0.0000 0.5912
Zn5 0.0000 0.0000 0.7956
Zn6 0.6667 0.3333 0.1022
Zn7 0.6667 0.3333 0.2958
Zn8 0.6667 0.3333 0.4891
Zn9 0.6667 0.3333 0.6934
Zn10 0.6667 0.3333 0.8978
Te1 0.0000 0.0000 0.0756
Te2 0.0000 0.0000 0.2692
Te3 0.0000 0.0000 0.4627
Te4 0.0000 0.0000 0.6669
Te5 0.0000 0.0000 0.8713
Te6 0.6667 0.3333 0.5648
Te7 0.6667 0.3333 0.7691
Te8 0.6667 0.3333 0.9735
Se1 0.6667 0.3333 0.1728
Se2 0.6667 0.3333 0.3664

Output
- DFT total energy: -2.74 eV per atom
- Magnetization: 0.0000 μB/atom
- Crystal system: trigonal

=====

Entry 2:
ScMn2Se | PBE | optimized geometry

Cell lengths 3.4119, 3.4119, 5.8174 Å; angles 90.00, 90.00, 90.00 degrees
Fractional coordinates of all 4 atoms:
Sc1 0.0000 0.0000 0.0000
Mn1 0.0000 0.0000 0.5131
Mn2 0.5000 0.5000 0.7306
Se1 0.5000 0.5000 0.2547

Output
- DFT total energy: -7.23 eV per atom
- Magnetization: 1.6426 μB/atom
- Crystal system: tetragonal

=====

Entry 3:
Hf4PaRe | PBE | optimized geometry

Cell lengths 10.4690, 4.8984, 5.9482 Å; angles 90.00, 122.96, 90.00 degrees
Fractional coordinates of all 12 atoms:
Hf1 0.1541 0.0000 0.2963
Hf2 0.1957 0.0000 0.8316
Hf3 0.3043 0.5000 0.1684
Hf4 0.3459 0.5000 0.7037
Hf5 0.6541 0.5000 0.2963
Hf6 0.6957 0.5000 0.8316
Hf7 0.8043 0.0000 0.1684
Hf8 0.8459 0.0000 0.7037
Pa1 0.0000 0.5000 0.5000
Pa2 0.5000 0.0000 0.5000
Re1 0.0000 0.5000 0.0000
Re2 0.5000 0.0000 0.0000

Output
- DFT total energy: -10.35 eV per atom
- Magnetization: 0.0000 μB/atom
- Crystal system: monoclinic
- ΔE_f: -55 meV per atom

=====

Entry 4:
Be2CoCu | PBE | optimized geometry

Cell lengths 5.8003, 5.8003, 4.7946 Å; angles 90.00, 90.00, 90.00 degrees
Fractional coordinates of all 16 atoms:
Be1 0.2459 0.2500 0.1250
Be2 0.2500 0.7459 0.3750
Be3 0.2500 0.7541 0.8750
Be4 0.2541 0.2500 0.6250
Be5 0.7459 0.7500 0.6250
Be6 0.7500 0.2459 0.8750
Be7 0.7500 0.2541 0.3750
Be8 0.7541 0.7500 0.1250
Co1 0.0000 0.0000 0.0000
Co2 0.0000 0.5000 0.2500
Co3 0.5000 0.0000 0.7500
Co4 0.5000 0.5000 0.5000
Cu1 0.0000 0.0000 0.5000
Cu2 0.0000 0.5000 0.7500
Cu3 0.5000 0.0000 0.2500
Cu4 0.5000 0.5000 0.0000

Output
- DFT total energy: -4.43 eV per atom
- Magnetization: 0.0000 μB/atom
- Crystal system: tetragonal
- ΔE_f: 234 meV per atom

=====

Entry 5:
LiN2OF | PBE | optimized geometry

Cell lengths 3.6467, 3.6467, 4.8931 Å; angles 90.00, 90.00, 90.00 degrees
Fractional coordinates of all 5 atoms:
Li1 0.0000 0.0000 0.0000
N1 0.0000 0.5000 0.5000
N2 0.5000 0.0000 0.5000
O1 0.5000 0.5000 0.0000
F1 0.5000 0.5000 0.5000

Output
- DFT total energy: -3.14 eV per atom
- Magnetization: 0.7611 μB/atom
- Crystal system: tetragonal

=====

Entry 6:
BeSiCl2 | PBE | optimized geometry

Cell lengths 13.7160, 3.0340, 5.4581 Å; angles 90.00, 106.16, 90.00 degrees
Fractional coordinates of all 8 atoms:
Be1 0.0000 0.0000 0.0000
Be2 0.5000 0.5000 0.0000
Si1 0.3527 0.0000 0.7874
Si2 0.8527 0.5000 0.7874
Cl1 0.0984 0.5000 0.1053
Cl2 0.4013 0.0000 0.4447
Cl3 0.5984 0.0000 0.1053
Cl4 0.9013 0.5000 0.4447

Output
- DFT total energy: -3.49 eV per atom
- Magnetization: 0.0000 μB/atom
- Crystal system: monoclinic

=====

Entry 7:
SrNdBiPd | PBE | optimized geometry

Cell lengths 7.7434, 7.7434, 7.7434 Å; angles 90.00, 90.00, 90.00 degrees
Fractional coordinates of all 16 atoms:
Sr1 0.0000 0.0000 0.0000
Sr2 0.0000 0.5000 0.5000
Sr3 0.5000 0.0000 0.5000
Sr4 0.5000 0.5000 0.0000
Nd1 0.0000 0.0000 0.5000
Nd2 0.0000 0.5000 0.0000
Nd3 0.5000 0.0000 0.0000
Nd4 0.5000 0.5000 0.5000
Bi1 0.2500 0.2500 0.7500
Bi2 0.2500 0.7500 0.2500
Bi3 0.7500 0.2500 0.2500
Bi4 0.7500 0.7500 0.7500
Pd1 0.2500 0.2500 0.2500
Pd2 0.2500 0.7500 0.7500
Pd3 0.7500 0.2500 0.7500
Pd4 0.7500 0.7500 0.2500

Output
- DFT total energy: -4.54 eV per atom
- Magnetization: 0.0000 μB/atom
- Crystal system: cubic
- ΔE_f: -661 meV per atom

=====

Entry 8:
AlMo3Pd | PBE | optimized geometry

Cell lengths 4.7160, 4.7160, 4.7160 Å; angles 90.00, 90.00, 90.00 degrees
Fractional coordinates of all 5 atoms:
Al1 0.0000 0.0000 0.0000
Mo1 0.0000 0.5000 0.5000
Mo2 0.5000 0.0000 0.5000
Mo3 0.5000 0.5000 0.0000
Pd1 0.5000 0.5000 0.5000

Output
- DFT total energy: -6.46 eV per atom
- Magnetization: 0.0000 μB/atom
- Crystal system: cubic
- ΔE_f: 1823 meV per atom

=====

Entry 9:
ZnCuPt3 | PBE | optimized geometry

Cell lengths 7.2249, 7.2249, 8.5934 Å; angles 125.60, 125.60, 66.14 degrees
Fractional coordinates of all 20 atoms:
Zn1 0.1202 0.8798 0.7500
Zn2 0.3755 0.6245 0.2500
Zn3 0.6245 0.3755 0.7500
Zn4 0.8798 0.1202 0.2500
Cu1 0.1751 0.4182 0.4423
Cu2 0.4182 0.1751 0.9423
Cu3 0.5818 0.8249 0.0577
Cu4 0.8249 0.5818 0.5577
Pt1 0.0265 0.7742 0.3553
Pt2 0.0788 0.3290 0.0534
Pt3 0.2258 0.9735 0.1447
Pt4 0.2752 0.5311 0.8362
Pt5 0.3290 0.0788 0.5534
Pt6 0.4689 0.7248 0.6638
Pt7 0.5311 0.2752 0.3362
Pt8 0.6710 0.9212 0.4466
Pt9 0.7248 0.4689 0.1638
Pt10 0.7742 0.0265 0.8553
Pt11 0.9212 0.6710 0.9466
Pt12 0.9735 0.2258 0.6447

Output
- DFT total energy: -4.96 eV per atom
- Magnetization: 0.0000 μB/atom
- Crystal system: monoclinic
- ΔE_f: -263 meV per atom

=====

Entry 10:
TlInMo2 | PBE | optimized geometry

Cell lengths 3.3820, 4.6721, 4.8017 Å; angles 90.00, 90.00, 90.00 degrees
Fractional coordinates of all 4 atoms:
Tl1 0.0000 0.0000 0.0000
In1 0.5000 0.0000 0.5000
Mo1 0.0000 0.5000 0.5000
Mo2 0.5000 0.5000 0.0000

Output
- DFT total energy: -6.01 eV per atom
- Magnetization: 0.0000 μB/atom
- Crystal system: orthorhombic
- ΔE_f: 678 meV per atom

=====

Entry 11:
NdHoTe2S | PBE | optimized geometry

Cell lengths 4.4470, 4.4470, 15.7024 Å; angles 90.00, 90.00, 90.00 degrees
Fractional coordinates of all 10 atoms:
Nd1 0.2500 0.2500 0.1058
Nd2 0.7500 0.7500 0.8942
Ho1 0.2500 0.2500 0.6109
Ho2 0.7500 0.7500 0.3891
Te1 0.2500 0.2500 0.4077
Te2 0.2500 0.2500 0.7951
Te3 0.7500 0.7500 0.2049
Te4 0.7500 0.7500 0.5923
S1 0.2500 0.7500 0.0000
S2 0.7500 0.2500 0.0000

Output
- DFT total energy: -5.43 eV per atom
- Magnetization: 0.0000 μB/atom
- Crystal system: tetragonal

=====

Entry 12:
Sr3CdSn | PBE | optimized geometry

Cell lengths 6.3623, 6.3623, 6.3623 Å; angles 90.00, 90.00, 90.00 degrees
Fractional coordinates of all 5 atoms:
Sr1 0.0000 0.0000 0.5000
Sr2 0.0000 0.5000 0.0000
Sr3 0.5000 0.0000 0.0000
Cd1 0.5000 0.5000 0.5000
Sn1 0.0000 0.0000 0.0000

Output
- DFT total energy: -2.12 eV per atom
- Magnetization: 0.0001 μB/atom
- Crystal system: cubic
- ΔE_f: -127 meV per atom

=====

Entry 13:
NaGeRu3 | PBE | optimized geometry

Cell lengths 4.6301, 4.6301, 4.6301 Å; angles 90.00, 90.00, 90.00 degrees
Fractional coordinates of all 5 atoms:
Na1 0.0000 0.0000 0.0000
Ge1 0.5000 0.5000 0.5000
Ru1 0.0000 0.5000 0.5000
Ru2 0.5000 0.0000 0.5000
Ru3 0.5000 0.5000 0.0000

Output
- DFT total energy: -5.68 eV per atom
- Magnetization: 0.5530 μB/atom
- Crystal system: cubic
- ΔE_f: 1075 meV per atom

=====

Entry 14:
Tb3AlSi | PBE | optimized geometry

Cell lengths 4.1306, 7.6526, 8.4747 Å; angles 88.25, 89.89, 74.49 degrees
Fractional coordinates of all 10 atoms:
Tb1 0.0488 0.4014 0.1738
Tb2 0.2359 0.0280 0.8230
Tb3 0.4066 0.6835 0.4042
Tb4 0.5934 0.3165 0.5958
Tb5 0.7641 0.9720 0.1770
Tb6 0.9512 0.5986 0.8262
Al1 0.2049 0.0918 0.4355
Al2 0.7951 0.9082 0.5645
Si1 0.3938 0.7119 0.0609
Si2 0.6062 0.2881 0.9391

Output
- DFT total energy: -5.00 eV per atom
- Magnetization: 0.0000 μB/atom
- Crystal system: triclinic

=====

Entry 15:
Sc2Ga3Ir | PBE | optimized geometry

Cell lengths 8.7252, 8.1766, 5.4138 Å; angles 76.92, 65.90, 37.18 degrees
Fractional coordinates of all 12 atoms:
Sc1 0.2426 0.7574 0.7574
Sc2 0.2500 0.2500 0.2500
Sc3 0.7500 0.7500 0.7500
Sc4 0.7574 0.2426 0.2426
Ga1 0.1669 0.6658 0.3342
Ga2 0.3305 0.3305 0.6695
Ga3 0.3342 0.8331 0.1669
Ga4 0.6658 0.1669 0.8331
Ga5 0.6695 0.6695 0.3305
Ga6 0.8331 0.3342 0.6658
Ir1 0.1621 0.1621 0.8379
Ir2 0.8379 0.8379 0.1621

Output
- DFT total energy: -5.81 eV per atom
- Magnetization: 0.0000 μB/atom
- Crystal system: orthorhombic
- ΔE_f: -714 meV per atom

=====

Entry 16:
NdMgBe2Au5 | PBE | optimized geometry

Cell lengths 4.6648, 4.6648, 7.5048 Å; angles 90.00, 90.00, 90.00 degrees
Fractional coordinates of all 9 atoms:
Nd1 0.0000 0.0000 0.0000
Mg1 0.0000 0.0000 0.5000
Be1 0.5000 0.5000 0.3343
Be2 0.5000 0.5000 0.6657
Au1 0.0000 0.5000 0.2840
Au2 0.0000 0.5000 0.7160
Au3 0.5000 0.0000 0.2840
Au4 0.5000 0.0000 0.7160
Au5 0.5000 0.5000 0.0000

Output
- DFT total energy: -3.72 eV per atom
- Magnetization: 0.0000 μB/atom
- Crystal system: tetragonal
- ΔE_f: -368 meV per atom

=====

Entry 17:
Rb2UPaS4 | PBE | optimized geometry

Cell lengths 7.0014, 4.0357, 8.1687 Å; angles 90.00, 106.56, 90.00 degrees
Fractional coordinates of all 8 atoms:
Rb1 0.0000 0.0000 0.0000
Rb2 0.5000 0.5000 0.0000
U1 0.0000 0.5000 0.5000
Pa1 0.5000 0.0000 0.5000
S1 0.2339 0.0000 0.6960
S2 0.2693 0.5000 0.3025
S3 0.7307 0.5000 0.6975
S4 0.7661 0.0000 0.3040

Output
- DFT total energy: -6.31 eV per atom
- Magnetization: 0.6205 μB/atom
- Crystal system: monoclinic

=====

Entry 18:
Sr12H5Pt3 | PBE | optimized geometry

Cell lengths 14.4460, 14.4460, 14.4460 Å; angles 109.47, 109.47, 109.47 degrees
Fractional coordinates of all 80 atoms:
Sr1 0.0286 0.2147 0.1254
Sr2 0.0286 0.3139 0.9033
Sr3 0.0894 0.7147 0.6861
Sr4 0.0894 0.8746 0.4033
Sr5 0.0967 0.6254 0.4106
Sr6 0.0967 0.9714 0.6861
Sr7 0.1254 0.0286 0.2147
Sr8 0.1254 0.5967 0.9106
Sr9 0.1861 0.2147 0.5894
Sr10 0.1861 0.4714 0.5967
Sr11 0.2147 0.1254 0.0286
Sr12 0.2147 0.5894 0.1861
Sr13 0.2853 0.3139 0.9106
Sr14 0.2853 0.4714 0.3746
Sr15 0.3139 0.9033 0.0286
Sr16 0.3139 0.9106 0.2853
Sr17 0.3746 0.2853 0.4714
Sr18 0.3746 0.5894 0.9033
Sr19 0.4033 0.0894 0.8746
Sr20 0.4033 0.8139 0.5286
Sr21 0.4106 0.0967 0.6254
Sr22 0.4106 0.8139 0.7853
Sr23 0.4714 0.3746 0.2853
Sr24 0.4714 0.5967 0.1861
Sr25 0.5286 0.4033 0.8139
Sr26 0.5286 0.6254 0.7147
Sr27 0.5894 0.1861 0.2147
Sr28 0.5894 0.9033 0.3746
Sr29 0.5967 0.1861 0.4714
Sr30 0.5967 0.9106 0.1254
Sr31 0.6254 0.4106 0.0967
Sr32 0.6254 0.7147 0.5286
Sr33 0.6861 0.0894 0.7147
Sr34 0.6861 0.0967 0.9714
Sr35 0.7147 0.5286 0.6254
Sr36 0.7147 0.6861 0.0894
Sr37 0.7853 0.4106 0.8139
Sr38 0.7853 0.8746 0.9714
Sr39 0.8139 0.5286 0.4033
Sr40 0.8139 0.7853 0.4106
Sr41 0.8746 0.4033 0.0894
Sr42 0.8746 0.9714 0.7853
Sr43 0.9033 0.0286 0.3139
Sr44 0.9033 0.3746 0.5894
Sr45 0.9106 0.1254 0.5967
Sr46 0.9106 0.2853 0.3139
Sr47 0.9714 0.6861 0.0967
Sr48 0.9714 0.7853 0.8746
H1 0.0000 0.0000 0.0000
H2 0.0000 0.0000 0.5000
H3 0.0000 0.5000 0.0000
H4 0.0000 0.5000 0.5000
H5 0.1250 0.7500 0.8750
H6 0.1250 0.8750 0.2500
H7 0.2500 0.1250 0.8750
H8 0.2500 0.6250 0.3750
H9 0.3750 0.2500 0.6250
H10 0.3750 0.6250 0.7500
H11 0.5000 0.0000 0.0000
H12 0.5000 0.0000 0.5000
H13 0.5000 0.5000 0.0000
H14 0.5000 0.5000 0.5000
H15 0.6250 0.3750 0.2500
H16 0.6250 0.7500 0.3750
H17 0.7500 0.3750 0.6250
H18 0.7500 0.8750 0.1250
H19 0.8750 0.1250 0.7500
H20 0.8750 0.2500 0.1250
Pt1 0.1250 0.2500 0.3750
Pt2 0.1250 0.3750 0.7500
Pt3 0.2500 0.3750 0.1250
Pt4 0.2500 0.8750 0.6250
Pt5 0.3750 0.1250 0.2500
Pt6 0.3750 0.7500 0.1250
Pt7 0.6250 0.2500 0.8750
Pt8 0.6250 0.8750 0.7500
Pt9 0.7500 0.1250 0.3750
Pt10 0.7500 0.6250 0.8750
Pt11 0.8750 0.6250 0.2500
Pt12 0.8750 0.7500 0.6250

Output
- DFT total energy: -3.21 eV per atom
- Magnetization: 0.0000 μB/atom
- Crystal system: cubic

=====

Entry 19:
AcPmCoGe | PBE | optimized geometry

Cell lengths 7.4012, 7.4012, 7.4012 Å; angles 90.00, 90.00, 90.00 degrees
Fractional coordinates of all 16 atoms:
Ac1 0.0000 0.0000 0.0000
Ac2 0.0000 0.5000 0.5000
Ac3 0.5000 0.0000 0.5000
Ac4 0.5000 0.5000 0.0000
Pm1 0.0000 0.0000 0.5000
Pm2 0.0000 0.5000 0.0000
Pm3 0.5000 0.0000 0.0000
Pm4 0.5000 0.5000 0.5000
Co1 0.2500 0.2500 0.7500
Co2 0.2500 0.7500 0.2500
Co3 0.7500 0.2500 0.2500
Co4 0.7500 0.7500 0.7500
Ge1 0.2500 0.2500 0.2500
Ge2 0.2500 0.7500 0.7500
Ge3 0.7500 0.2500 0.7500
Ge4 0.7500 0.7500 0.2500

Output
- DFT total energy: -5.34 eV per atom
- Magnetization: 0.2114 μB/atom
- Crystal system: cubic
- ΔE_f: -198 meV per atom

=====

Entry 20:
Pm2SmCu2Si2 | PBE | optimized geometry

Cell lengths 11.3386, 11.3386, 11.3386 Å; angles 20.93, 20.93, 20.93 degrees
Fractional coordinates of all 7 atoms:
Pm1 0.1192 0.1192 0.1192
Pm2 0.8808 0.8808 0.8808
Sm1 0.0000 0.0000 0.0000
Cu1 0.3947 0.3947 0.3947
Cu2 0.6053 0.6053 0.6053
Si1 0.2728 0.2728 0.2728
Si2 0.7272 0.7272 0.7272

Output
- DFT total energy: -5.23 eV per atom
- Magnetization: 0.1217 μB/atom
- Crystal system: trigonal